[1]
Here is a relaxed AcPm6PrEr2 crystal from the Alexandria database. Energies are from GGA-PBE.

```
AcPm6PrEr2
1.0
-8.754 -0.970 4.261
-2.368 -5.002 -7.122
4.283 -4.226 6.720
Ac Pm Pr Er
2 12 2 4
Direct
0.250 0.966 0.034 Ac
0.750 0.034 0.966 Ac
0.056 0.113 0.753 Pm
0.444 0.247 0.887 Pm
0.944 0.887 0.247 Pm
0.556 0.753 0.113 Pm
0.322 0.987 0.448 Pm
0.178 0.552 0.013 Pm
0.678 0.013 0.552 Pm
0.822 0.448 0.987 Pm
0.119 0.707 0.485 Pm
0.381 0.515 0.293 Pm
0.881 0.293 0.515 Pm
0.619 0.485 0.707 Pm
0.250 0.409 0.591 Pr
0.750 0.591 0.409 Pr
0.451 0.799 0.693 Er
0.049 0.307 0.201 Er
0.549 0.201 0.307 Er
0.951 0.693 0.799 Er
```

Computed properties:
Size of the total moment ... 0.00 μB per atom
ρ ... 7.40 g/cm³
E_tot ... -4.532 eV/atom



[2]
Here is a relaxed TeAsCl crystal from the Alexandria database. Energies are from GGA-PBE.

```
TeAsCl
1.0
-0.095 -0.044 -7.370
-2.218 -4.794 -5.142
-1.422 3.586 6.281
As Te Cl
1 1 1
Direct
0.128 0.128 0.000 As
0.582 0.582 0.000 Te
0.290 0.290 0.000 Cl
```

Computed properties:
ΔE_f (raw) ... -219 meV per atom
Size of the total moment ... 0.00 μB per atom
ρ ... 3.62 g/cm³



[3]
Here is a relaxed BaHoIn crystal from the Alexandria database. Energies are from GGA-PBE.

```
BaHoIn
1.0
-2.822 3.021 -0.143
-1.869 -1.974 -4.820
-2.173 -1.805 4.758
In Ho Ba
1 1 1
Direct
0.164 0.000 0.000 In
0.169 0.667 0.333 Ho
0.667 0.333 0.667 Ba
```

Computed properties:
Size of the total moment ... 0.00 μB per atom
ρ ... 6.31 g/cm³
Relative energy among the computed polymorphs ... 215 meV/atom



[4]
Here is a relaxed LiFe2GeI crystal from the Alexandria database. Energies are from GGA-PBE.

```
LiFe2GeI
1.0
4.788 0.000 0.000
0.000 4.779 0.000
0.000 0.000 4.788
I Ge Fe Li
1 1 2 1
Direct
0.000 0.000 0.000 I
0.500 0.500 0.500 Ge
0.000 0.000 0.500 Fe
0.500 0.000 0.000 Fe
0.000 0.500 0.000 Li
```

Computed properties:
ΔE_f (raw) ... 1072 meV per atom
Size of the total moment ... 0.91 μB per atom
ρ ... 4.82 g/cm³